Here is Ac7Zn2Os2 after structural relaxation from Alexandria. Energies are from PBE.

Output
V: 388.46 Å³/cell
calculated density: 8978 kg/m3
calculated formation energy: -14.6 kJ/mol of formula units
space group: C2/m (12)

abc: 7.385 7.385 7.603
angles: 90.07 90.07 69.54
Fractional positions:
Ac1 0.000 0.000 0.000
Ac2 0.000 0.500 0.255
Ac3 0.000 0.500 0.745
Ac4 0.500 0.000 0.255
Ac5 0.500 0.000 0.745
Ac6 0.500 0.500 0.247
Ac7 0.500 0.500 0.753
Zn1 0.156 0.844 0.500
Zn2 0.844 0.156 0.500
Os1 0.303 0.303 0.000
Os2 0.697 0.697 0.000

=====

Here is Ac3ZnOs after structural relaxation from Alexandria. Energies are from PBE.

Output
V: 353.44 Å³/cell
calculated density: 8801 kg/m3
calculated formation energy: -32.8 kJ/mol of formula units
space group: C2/m (12)

abc: 8.053 8.053 10.314
angles: 102.80 102.80 32.89
Fractional positions:
Ac1 0.034 0.034 0.272
Ac2 0.349 0.349 0.391
Ac3 0.353 0.353 0.015
Ac4 0.647 0.647 0.985
Ac5 0.651 0.651 0.609
Ac6 0.966 0.966 0.728
Zn1 0.305 0.305 0.694
Zn2 0.695 0.695 0.306
Os1 0.167 0.167 0.799
Os2 0.833 0.833 0.201

=====

Here is Ac6ZnOs2 after structural relaxation from Alexandria. Energies are from PBE.

Output
V: 357.31 Å³/cell
calculated density: 8402 kg/m3
calculated formation energy: -29.8 kJ/mol of formula units
space group: P-31m (162)

abc: 7.588 7.588 7.166
angles: 90.00 90.00 120.00
Fractional positions:
Ac1 0.000 0.351 0.273
Ac2 0.000 0.649 0.727
Ac3 0.351 0.000 0.273
Ac4 0.351 0.351 0.727
Ac5 0.649 0.000 0.727
Ac6 0.649 0.649 0.273
Zn1 0.000 0.000 0.000
Os1 0.333 0.667 0.500
Os2 0.667 0.333 0.500

=====

Here is Ac5ZnOs2 after structural relaxation from Alexandria. Energies are from PBE.

Output
V: 510.38 Å³/cell
calculated density: 10287 kg/m3
calculated formation energy: -66.2 kJ/mol of formula units
space group: I4/mcm (140)

abc: 9.392 9.392 9.392
angles: 127.12 127.12 78.05
Fractional positions:
Ac1 0.000 0.000 0.000
Ac2 0.029 0.529 0.821
Ac3 0.209 0.029 0.500
Ac4 0.291 0.791 0.821
Ac5 0.471 0.291 0.500
Ac6 0.500 0.500 0.000
Ac7 0.529 0.709 0.500
Ac8 0.709 0.209 0.179
Ac9 0.791 0.971 0.500
Ac10 0.971 0.471 0.179
Zn1 0.250 0.250 0.000
Zn2 0.750 0.750 0.000
Os1 0.139 0.361 0.500
Os2 0.361 0.861 0.223
Os3 0.639 0.139 0.777
Os4 0.861 0.639 0.500

=====

Calculated final energy (eV/atom), listed in the same order as above: -4.902 -5.034 -5.410 -5.620